(1)
LaBe3Os | PBE | optimized geometry

Properties
Formation energy from the elements = -9.8 kJ/mol of atoms
Polymorph energy (0 for the lowest one) = 56 meV per atom
Fermi-level density of states = 10.84 states/eV/cell
Total moment = 0.00 μB per formula unit
Crystal system = monoclinic

abc: 11.0700 3.9562 8.7647
angles: 90.00 125.79 90.00
Closest atoms and distances in Å follow each position.
Space group Cm (No. 8)
Unique sites:
La 0.0000 0.0000 0.0000 [2 per cell]  6 Be 2.80-3.10, 2 Os 2.84-3.08
La 0.0487 0.5000 0.6871 [2 per cell]  5 Be 2.90-3.14
Be 0.0261 0.5000 0.3128 [2 per cell]  4 Be 2.29-2.36, 4 Os 2.39
Be 0.2524 0.5000 0.3430 [2 per cell]  4 Be 2.14-2.36, 1 Os 2.28
Be 0.2587 0.5000 0.5912 [2 per cell]  4 Be 2.14-2.29, 2 Os 2.28
Be 0.2708 0.0000 0.7312 [2 per cell]  1 Os 2.18, 3 Be 2.29-2.39
Be 0.2948 0.0000 0.0207 [2 per cell]  3 Be 2.23-2.39, 2 Os 2.38
Be 0.3064 0.0000 0.2837 [2 per cell]  4 Be 2.21-2.29, 3 Os 2.36-2.45
Os 0.1751 0.0000 0.4315 [2 per cell]  5 Be 2.18-2.39
Os 0.3765 0.5000 0.2074 [2 per cell]  7 Be 2.28-2.39

=====

(2)
LaBe3Os | PBE | optimized geometry

Properties
Formation energy from the elements = -8.2 kJ/mol of atoms
Polymorph energy (0 for the lowest one) = 72 meV per atom
Fermi-level density of states = 2.62 states/eV/cell
Total moment = 0.00 μB per formula unit
Crystal system = cubic

abc: 4.3749 4.3749 4.3749
angles: 90.00 90.00 90.00
Closest atoms and distances in Å follow each position.
Space group Pm-3m (No. 221)
Unique sites:
La 0.0000 0.0000 0.0000 [1 per cell]  12 Be 3.09
Be 0.0000 0.5000 0.5000 [3 per cell]  2 Os 2.19
Os 0.5000 0.5000 0.5000 [1 per cell]  6 Be 2.19

=====

(3)
LaBeOs2 | PBE | optimized geometry

Properties
Formation energy from the elements = 31.3 kJ/mol of atoms
Fermi-level density of states = 7.65 states/eV/cell
Total moment = 0.00 μB per formula unit
Crystal system = monoclinic

abc: 8.2950 3.0408 5.6862
angles: 90.00 103.03 90.00
Closest atoms and distances in Å follow each position.
Space group C2/m (No. 12)
Unique sites:
La 0.0000 0.0000 0.0000 [2 per cell]  6 Os 2.89-3.10, 2 La 3.04, 4 Be 3.22
Be 0.0000 0.5000 0.5000 [2 per cell]  4 Os 2.35
Os 0.2126 0.0000 0.6619 [4 per cell]  2 Be 2.35, 2 Os 2.57

=====

(4)
LaBe4Os | PBE | optimized geometry

Properties
Formation energy from the elements = 15.3 kJ/mol of atoms
Fermi-level density of states = 18.97 states/eV/cell
Total moment = 0.00 μB per formula unit
Crystal system = cubic

abc: 6.8133 6.8133 6.8133
angles: 90.00 90.00 90.00
Closest atoms and distances in Å follow each position.
Space group F-43m (No. 216)
Unique sites:
La 0.0000 0.0000 0.0000 [4 per cell]  12 Be 2.83, 4 Os 2.95
Be 0.1205 0.1205 0.3795 [16 per cell]  6 Be 2.32-2.50
Os 0.2500 0.2500 0.7500 [4 per cell]  12 Be 2.82, 4 La 2.95

=====

Ρ values (in g cm⁻³) by entry order: 7.60, 7.06, 12.56, 7.67.